1.
YHoSi2Ir: optimized geometry, PBE.

Unit cell a=10.410 b=4.241 c=10.125 alpha=90.00 beta=117.62 gamma=90.00
Space group C2/m (No. 12)
Unique sites:
Y  0.005  0.000  0.326 x4
Ho  0.190  0.000  0.114 x4
Si  0.013  0.500  0.885 x4
Si  0.148  0.500  0.555 x4
Ir  0.228  0.500  0.342 x4

2.
LuMg2Sb: optimized geometry, PBE.

Unit cell a=7.354 b=7.354 c=7.354 alpha=90.00 beta=90.00 gamma=90.00
Space group F-43m (No. 216)
Unique sites:
Lu  0.000  0.000  0.000 x4
Mg  0.000  0.000  0.500 x4
Mg  0.250  0.250  0.250 x4
Sb  0.250  0.250  0.750 x4

| no. | E (eV/f.u.) |
| --- | --- |
| 1 | -35.593 |
| 2 | -12.351 |